1.
CoAg2Br PBE optimized geometry; energy relative to the elements, uncorrected = 0.32 eV per atom; offset from the most stable computed form = 41.9 meV per atom; total moment = 2.02 μB per cell
1.0
8.866 -0.013 -0.008
8.290 3.143 -0.008
8.290 1.512 2.755
Ag Br Co
2 1 1
Direct
0.009 0.009 0.009 Ag
0.258 0.258 0.258 Ag
0.480 0.480 0.480 Br
0.753 0.753 0.753 Co

---

2.
TaTcW2 PBE optimized geometry; offset from the most stable computed form = 0.0 meV per atom; total moment = 0.00 μB per cell; DFT formation energy = -15.2 kJ/mol of atoms
1.0
3.185 0.000 0.000
0.000 3.185 0.000
0.000 0.000 6.398
Tc W Ta
1 2 1
Direct
0.500 0.500 0.752 Tc
0.000 0.000 0.001 W
0.500 0.500 0.244 W
0.000 0.000 0.503 Ta

---

3.
K3RePd PBE optimized geometry; offset from the most stable computed form = 0.0 meV per atom; total moment = 4.02 μB per cell; DFT formation energy = 132.6 kJ/mol of atoms
1.0
-0.412 3.885 -4.657
-6.060 -0.080 0.469
0.238 4.674 3.878
Re K Pd
1 3 1
Direct
0.500 0.500 0.500 Re
0.000 0.500 0.000 K
0.000 0.000 0.500 K
0.500 0.000 0.000 K
0.000 0.000 0.000 Pd

---

4.
Pr5NdN6 PBE optimized geometry; energy relative to the elements, uncorrected = -1.30 eV per atom; total moment = 0.00 μB per cell
1.0
6.308 0.153 0.958
1.549 5.349 3.118
0.106 0.057 6.381
Pr Nd N
5 1 6
Direct
0.500 0.166 0.667 Pr
0.000 0.333 0.333 Pr
0.500 0.500 0.000 Pr
0.000 0.667 0.667 Pr
0.500 0.834 0.333 Pr
0.000 0.000 0.000 Nd
0.751 0.083 0.332 N
0.249 0.585 0.332 N
0.249 0.249 0.000 N
0.751 0.751 0.000 N
0.751 0.415 0.668 N
0.249 0.917 0.668 N

---

5.
PmGdNiPt PBE optimized geometry; total moment = 7.22 μB per cell; DFT formation energy = -68.2 kJ/mol of atoms
1.0
-3.522 1.039 3.342
-4.143 -2.730 0.171
-0.789 -3.079 3.815
Ni Gd Pt Pm
1 1 1 1
Direct
0.250 0.250 0.250 Ni
0.500 0.500 0.500 Gd
0.750 0.750 0.750 Pt
0.000 0.000 0.000 Pm

---

6.
Li2PaZn PBE optimized geometry; total moment = 0.00 μB per cell; DFT formation energy = 16.3 kJ/mol of atoms
1.0
-0.349 0.493 2.897
2.203 -0.607 1.880
4.353 9.750 0.376
Zn Pa Li
1 1 2
Direct
0.500 0.500 0.500 Zn
0.000 0.000 0.000 Pa
0.096 0.096 0.712 Li
0.904 0.904 0.288 Li

---

7.
CaSn2O4 PBE optimized geometry; energy relative to the elements, uncorrected = -1.82 eV per atom; offset from the most stable computed form = 88.8 meV per atom; total moment = 0.00 μB per cell
1.0
1.652 7.211 0.050
-1.652 7.211 0.050
0.000 6.090 9.323
Ca Sn O
2 4 8
Direct
0.317 0.317 0.212 Ca
0.683 0.683 0.788 Ca
0.637 0.637 0.136 Sn
0.112 0.112 0.575 Sn
0.888 0.888 0.425 Sn
0.363 0.363 0.864 Sn
0.859 0.859 0.756 O
0.471 0.471 0.227 O
0.529 0.529 0.773 O
0.141 0.141 0.244 O
0.179 0.179 0.973 O
0.766 0.766 0.376 O
0.821 0.821 0.027 O
0.234 0.234 0.624 O

---

8.
CaZr2In2 PBE optimized geometry; offset from the most stable computed form = 0.0 meV per atom; total moment = 0.00 μB per cell; DFT formation energy = -16.2 kJ/mol of atoms
1.0
8.806 0.000 0.000
0.000 8.806 0.000
0.000 0.000 3.299
Ca Zr In
2 4 4
Direct
0.000 0.000 0.000 Ca
0.500 0.500 0.000 Ca
0.127 0.627 0.500 Zr
0.627 0.873 0.500 Zr
0.873 0.373 0.500 Zr
0.373 0.127 0.500 Zr
0.330 0.830 0.000 In
0.830 0.670 0.000 In
0.670 0.170 0.000 In
0.170 0.330 0.000 In

---

9.
RhPbS2 PBE optimized geometry; energy relative to the elements, uncorrected = -0.36 eV per atom; total moment = 0.00 μB per cell
1.0
3.591 0.000 0.000
1.795 3.110 0.000
1.795 1.037 7.350
Rh Pb S
1 1 2
Direct
0.665 0.665 0.004 Rh
0.501 0.501 0.496 Pb
0.055 0.055 0.836 S
0.278 0.278 0.165 S

---

10.
GeSb2TeIr PBE optimized geometry; energy relative to the elements, uncorrected = 0.57 eV per atom; offset from the most stable computed form = 0.0 meV per atom; total moment = 0.00 μB per cell
1.0
5.043 0.000 0.000
0.000 5.043 0.000
0.000 0.000 5.687
Sb Ge Ir Te
2 1 1 1
Direct
0.000 0.500 0.000 Sb
0.500 0.000 0.000 Sb
0.500 0.500 0.500 Ge
0.000 0.000 0.000 Ir
0.000 0.000 0.500 Te

---

11.
LiH2Cl PBE optimized geometry; offset from the most stable computed form = 741.6 meV per atom; total moment = 0.00 μB per cell
1.0
3.167 0.000 0.000
0.000 3.167 0.000
1.584 1.584 12.733
H Li Cl
4 2 2
Direct
0.375 0.125 0.250 H
0.375 0.625 0.250 H
0.375 0.625 0.750 H
0.875 0.625 0.750 H
0.500 0.500 0.000 Li
0.250 0.750 0.500 Li
0.000 0.000 0.000 Cl
0.750 0.250 0.500 Cl

---

12.
MnTlP PBE optimized geometry; offset from the most stable computed form = 0.0 meV per atom; total moment = 2.92 μB per cell; DFT formation energy = 7.0 kJ/mol of atoms
1.0
-1.611 1.611 5.785
1.611 -1.611 5.785
1.611 1.611 -5.785
Mn Tl P
1 1 1
Direct
0.054 0.054 0.000 Mn
0.337 0.337 0.000 Tl
0.609 0.609 0.000 P

---

13.
CeTl2PbI8 PBE optimized geometry; energy relative to the elements, uncorrected = -0.83 eV per atom; total moment = 0.09 μB per cell
1.0
8.240 -0.068 -0.004
-0.119 7.536 -0.008
0.004 0.012 9.524
Ce Tl Pb I
1 2 1 8
Direct
0.000 0.000 0.000 Ce
0.500 0.500 0.745 Tl
0.500 0.500 0.255 Tl
0.000 0.000 0.500 Pb
0.134 0.764 0.234 I
0.688 0.789 0.000 I
0.866 0.236 0.234 I
0.866 0.236 0.766 I
0.312 0.211 0.000 I
0.134 0.764 0.766 I
0.676 0.757 0.500 I
0.324 0.243 0.500 I

---

14.
Pm2HgBr PBE optimized geometry; energy relative to the elements, uncorrected = -0.76 eV per atom; offset from the most stable computed form = 10.9 meV per atom; total moment = 0.00 μB per cell
1.0
-3.167 0.022 -2.936
-1.181 -3.679 -1.930
-6.332 -2.410 3.635
Hg Br Pm
1 1 2
Direct
0.000 0.000 0.000 Hg
0.500 0.500 0.500 Br
0.250 0.250 0.249 Pm
0.750 0.750 0.751 Pm

---

15.
Ga2Ag2Au PBE optimized geometry; offset from the most stable computed form = 0.0 meV per atom; total moment = 0.00 μB per cell; DFT formation energy = -4.9 kJ/mol of atoms
1.0
-4.364 1.375 5.118
-2.034 -3.262 3.747
2.778 1.396 6.598
Ga Ag Au
4 4 2
Direct
0.446 0.906 0.845 Ga
0.804 0.406 0.345 Ga
0.554 0.094 0.155 Ga
0.196 0.594 0.655 Ga
0.203 0.152 0.540 Ag
0.895 0.348 0.960 Ag
0.797 0.848 0.460 Ag
0.105 0.652 0.040 Ag
0.331 0.750 0.250 Au
0.669 0.250 0.750 Au

---

What did we get for ρ? Answer: 7620, 16550, 3031, 7297, 10668, 6443, 5128, 5869, 7571, 7301, 1155, 8031, 4974, 8062, 10110 kg/m³, in the order shown.
What did we get for final energy? Answer: -0.2428, -0.8959, -0.2067, -0.5772, -0.6152, -0.2558, -0.4474, -0.3736, -0.3811, -0.3237, -0.2026, -0.4098, -0.2252, -0.2667, -0.2247 Ry per atom, in the order shown.